[1]
# BeCl2 | the Alexandria database | GGA-PBE | optimized geometry
data_BeCl2
_chemical_formula_sum 'Be1 Cl2'
_cell_length_a 4.225
_cell_length_b 4.225
_cell_length_c 3.078
_cell_angle_alpha 90.00
_cell_angle_beta 90.00
_cell_angle_gamma 90.00
_symmetry_space_group_name_H-M 'P 4/m m m'
_symmetry_Int_Tables_number 123
_symmetry_space_group_name_Hall '-P 4 2'
loop_
_atom_site_label
_atom_site_type_symbol
_atom_site_fract_x
_atom_site_fract_y
_atom_site_fract_z
Be1 Be 0.000 0.000 0.000
Cl1 Cl 0.000 0.500 0.500
# Energy above the most stable polymorph in this dataset (kJ per mole of atoms): 128.9
# Calculated total energy (eV per cell): -7.7
# Formation energy (no corrections) (meV per atom): -98



[2]
# VIr2Ru4 | the Alexandria database | GGA-PBE | optimized geometry
data_VIr2Ru4
_chemical_formula_sum 'V2 Ir4 Ru8'
_cell_length_a 5.107
_cell_length_b 8.267
_cell_length_c 4.832
_cell_angle_alpha 90.00
_cell_angle_beta 95.05
_cell_angle_gamma 90.00
_symmetry_space_group_name_H-M 'C 1 2/m 1'
_symmetry_Int_Tables_number 12
_symmetry_space_group_name_Hall '-C 2y'
loop_
_atom_site_label
_atom_site_type_symbol
_atom_site_fract_x
_atom_site_fract_y
_atom_site_fract_z
V1 V 0.000 0.000 0.000
Ir1 Ir 0.061 0.500 0.260
Ru1 Ru 0.000 0.173 0.500
Ru2 Ru 0.250 0.250 0.000
# Formation energy (eV per formula unit): 0.8
# Calculated total energy (eV per cell): -126.4



Which formula does entry 2 have? VIr2Ru4



calculated total energy of number 1 (BeCl2)? -7.7 eV per cell



What is the calculated total energy in the second record? -126.4 eV per cell